# 1
The following is a PBE calculation of a geometry-optimized KSr3V structure, from Alexandria.

The structure in POSCAR format:
```
KSr3V
1.0
6.461 0.000 0.000
0.000 6.461 0.000
0.000 0.000 6.461
Sr V K
3 1 1
Direct
0.500 0.000 0.000
0.000 0.500 0.000
0.000 0.000 0.500
0.000 0.000 0.000
0.500 0.500 0.500
```

Summary:
For the density of states at the Fermi level, the calculation gives 3.59 states/eV/f.u. The formation energy is 0.517 eV/atom. As for the energy above the most stable polymorph in this dataset: 0 kJ/mol of formula units. The uncorrected energy is -0.1863 Ry per atom.



# 2
The following is a PBE calculation of a geometry-optimized Ba8Cd2Ga structure, from Alexandria.

The structure in POSCAR format:
```
Ba8Cd2Ga
1.0
6.061 0.000 0.000
0.000 8.382 0.107
-3.031 -3.462 10.055
Ba Ga Cd
8 1 2
Direct
0.970 0.197 0.940
0.408 0.568 0.817
0.205 0.313 0.411
0.795 0.687 0.589
0.337 0.037 0.674
0.030 0.803 0.060
0.663 0.963 0.326
0.592 0.432 0.183
0.500 0.000 0.000
0.817 0.292 0.633
0.183 0.708 0.367
```

Summary:
For the density of states at the Fermi level, the calculation gives 15.61 states/eV/f.u. The formation energy is -0.161 eV/atom. As for the energy above the most stable polymorph in this dataset: 0 kJ/mol of formula units. The uncorrected energy is -0.1471 Ry per atom.